A relaxed structure of MgScGe2Rh, computed with PBE.

The formation enthalpy at 0 K is -0.052 eV per atom. Its total energy is -4.954 eV per atom. As for the total magnetization: 0.0 Bohr magnetons per cell.

It has space group P4/mmm (No. 123), with a = 4.754 Å, b = 4.754 Å, c = 4.763 Å, α = 90.00°, β = 90.00° and γ = 90.00°. Symmetry generates all atoms from Mg at (0.000, 0.000, 0.000), Sc at (0.500, 0.500, 0.000), Ge at (0.000, 0.500, 0.500) and Rh at (0.000, 0.000, 0.500).



A relaxed structure of Mg2SiGe2Rh5, computed with PBE.

For the uncorrected formation energy, the calculation gives -573 meV per atom. Its total energy is -6.034 eV per atom. As for the total magnetization: 0.0 Bohr magnetons per cell.

It has space group P4/mbm (No. 127), with a = 9.529 Å, b = 9.529 Å, c = 3.374 Å, α = 90.00°, β = 90.00° and γ = 90.00°. Symmetry generates all atoms from Mg at (0.169, 0.331, 0.000), Si at (0.000, 0.000, 0.000), Ge at (0.132, 0.632, 0.000), Rh at (0.000, 0.500, 0.500) and Rh at (0.074, 0.807, 0.500).



A relaxed structure of SmMgGe2Rh, computed with PBE.

The formation enthalpy at 0 K is -0.721 eV per atom. Its total energy is -5.301 eV per atom. As for the total magnetization: 0.0 Bohr magnetons per cell.

It has space group I-4m2 (No. 119), with a = 4.104 Å, b = 4.104 Å, c = 11.318 Å, α = 90.00°, β = 90.00° and γ = 90.00°. Symmetry generates all atoms from Sm at (0.000, 0.000, 0.000), Mg at (0.000, 0.500, 0.750), Ge at (0.000, 0.000, 0.390) and Rh at (0.000, 0.500, 0.250).



A relaxed structure of SmMgGe2Rh5, computed with PBE.

The formation enthalpy at 0 K is -0.431 eV per atom. Its total energy is -6.243 eV per atom. As for the total magnetization: 0.0 Bohr magnetons per cell.

It has space group P4/mmm (No. 123), with a = 4.569 Å, b = 4.569 Å, c = 7.532 Å, α = 90.00°, β = 90.00° and γ = 90.00°. Symmetry generates all atoms from Sm at (0.000, 0.000, 0.000), Mg at (0.000, 0.000, 0.500), Ge at (0.500, 0.500, 0.332), Rh at (0.000, 0.500, 0.262) and Rh at (0.500, 0.500, 0.000).



A relaxed structure of Sr2MgGe3Rh4, computed with PBE.

The formation enthalpy at 0 K is -0.698 eV per atom. Its total energy is -5.520 eV per atom. As for the total magnetization: 0.0 Bohr magnetons per cell.

It has space group P-4m2 (No. 115), with a = 4.284 Å, b = 4.284 Å, c = 10.563 Å, α = 90.00°, β = 90.00° and γ = 90.00°. Symmetry generates all atoms from Sr at (0.000, 0.500, 0.246), Mg at (0.000, 0.000, 0.500), Ge at (0.000, 0.500, 0.878), Ge at (0.500, 0.500, 0.500), Rh at (0.000, 0.000, 0.000), Rh at (0.000, 0.500, 0.638) and Rh at (0.500, 0.500, 0.000).



A relaxed structure of Sr2MgGe4Rh3, computed with PBE.

The formation enthalpy at 0 K is -0.593 eV per atom. Its total energy is -5.141 eV per atom. As for the total magnetization: 0.0 Bohr magnetons per cell.

It has space group P-4m2 (No. 115), with a = 4.359 Å, b = 4.359 Å, c = 10.568 Å, α = 90.00°, β = 90.00° and γ = 90.00°. Symmetry generates all atoms from Sr at (0.000, 0.500, 0.241), Mg at (0.000, 0.000, 0.500), Ge at (0.000, 0.000, 0.000), Ge at (0.000, 0.500, 0.643), Ge at (0.500, 0.500, 0.000), Rh at (0.000, 0.500, 0.882) and Rh at (0.500, 0.500, 0.500).